No. 1
LiCr2Co: relaxed, PBE.

```
4
Lattice="4.791 0.001 -0.001 2.432 4.128 0.001 -3.223 -2.744 2.244" Properties=species:S:1:pos:R:3 pbc="T T T"
Co 1.410 1.724 1.122
Cr 3.538 2.023 0.000
Cr 0.073 0.042 0.000
Li 2.590 -0.339 1.122
```

Summary:
**Calculated volume**: 44.37 Å³/f.u.
**E**: -27.10 eV for the cell shown
**D(E_F)**: 0.788 states/eV per atom



No. 2
LiCrCo2: relaxed, PBE.

```
4
Lattice="-3.427 -1.965 -0.140 -0.356 -3.485 1.831 -2.235 -0.308 3.245" Properties=species:S:1:pos:R:3 pbc="T T T"
Cr -3.009 -2.878 2.468
Co -1.505 -1.439 1.234
Li -4.514 -4.318 3.703
Co 0.000 0.000 0.000
```

Summary:
**Calculated volume**: 43.66 Å³/f.u.
**E**: -24.32 eV for the cell shown
**D(E_F)**: 0.894 states/eV per atom



No. 3
LiCrCo3: relaxed, PBE.

```
5
Lattice="-2.561 1.312 -3.067 0.977 -3.402 -2.271 -3.190 -2.095 1.767" Properties=species:S:1:pos:R:3 pbc="T T T"
Co -1.595 -1.048 0.884
Li -2.387 -2.093 -1.786
Co -1.281 0.656 -1.534
Co 0.488 -1.701 -1.136
Cr 0.000 0.000 0.000
```

Summary:
**Calculated volume**: 74.39 Å³/f.u.
**E**: -27.88 eV for the cell shown
**D(E_F)**: 1.051 states/eV per atom